# MoSe2F (PBE with a Hubbard U, relaxed)
data_MoSe2F
_space_group_name_H-M_alt 'I -4 2 d'
_space_group_IT_number 122
_space_group_name_Hall 'I -4 2bw'
_cell_length_a 6.2304
_cell_length_b 6.2304
_cell_length_c 10.1551
_cell_angle_alpha 90.00
_cell_angle_beta 90.00
_cell_angle_gamma 90.00
loop_
_atom_site_label
_atom_site_type_symbol
_atom_site_fract_x
_atom_site_fract_y
_atom_site_fract_z
Mo1 Mo 0.0000 0.0000 0.0000
Se1 Se 0.2296 0.2500 0.1250
F1 F 0.0000 0.0000 0.5000
# * offset from the most stable computed form: 327 meV/atom
# * N(E_F): 1.05 states/eV per cell
# * total magnetization: 0.2500 μB per atom
# * crystal system: tetragonal
# * total DFT energy (no corrections): -65.740 eV for the cell shown